A plane-wave DFT calculation with GGA-PBE was carried out for a geometry-optimized BaHgCl4 structure.

## Properties
The energy relative to the elements, uncorrected comes out at -1.5462 eV/atom. The energy above the most stable polymorph in this dataset comes out at 0 meV per atom. The raw total energy comes out at -3.148 eV/atom. The calculation puts the total magnetization at 0.0000 μB/atom. The value obtained for the density of states at the Fermi level is 0.00 states/eV/atom. The density is 3.624 Mg/m³.

Unit cell a=9.9106 b=9.9106 c=8.9519 alpha=90.00 beta=90.00 gamma=90.00
Space group I4_1/amd (No. 141, origin choice 2)
Unique sites:
Ba: 0.0000 0.2500 0.3750 [4 per cell]
Hg: 0.0000 0.2500 0.8750 [4 per cell]
Cl: 0.0000 0.0676 0.6752 [16 per cell]